First-principles (PBE) data for a relaxed structure of AlGa3Se, as listed in the Alexandria database.

The structure in CIF format:
```
data_AlGa3Se
_chemical_formula_sum 'Al1 Ga3 Se1'
_cell_length_a 4.957
_cell_length_b 4.957
_cell_length_c 4.957
_cell_angle_alpha 90.00
_cell_angle_beta 90.00
_cell_angle_gamma 90.00
_space_group_name_H-M_alt 'P 1'
_space_group_IT_number 1
loop_
_space_group_symop_operation_xyz
'x,y,z'
loop_
_atom_site_label
_atom_site_type_symbol
_atom_site_fract_x
_atom_site_fract_y
_atom_site_fract_z
Al1 Al 0.000 0.000 0.000
Ga1 Ga 0.000 0.000 0.500
Ga2 Ga 0.000 0.500 0.000
Ga3 Ga 0.500 0.000 0.000
Se1 Se 0.500 0.500 0.500
```

## Properties
- mass density (g/cm³) = 4.3
- uncorrected formation energy (eV per atom) = 0.199
- excess energy over the best structure of this formula in the dataset (eV/atom) = 0.0000
- total magnetization (μB per formula unit) = 0.00


First-principles (PBE) data for a relaxed structure of LaPrHoSc, as listed in the Alexandria database.

The structure in CIF format:
```
data_LaPrHoSc
_chemical_formula_sum 'La1 Pr1 Ho1 Sc1'
_cell_length_a 6.791
_cell_length_b 6.791
_cell_length_c 3.841
_cell_angle_alpha 106.27
_cell_angle_beta 106.27
_cell_angle_gamma 50.25
_space_group_name_H-M_alt 'P 1'
_space_group_IT_number 1
loop_
_space_group_symop_operation_xyz
'x,y,z'
loop_
_atom_site_label
_atom_site_type_symbol
_atom_site_fract_x
_atom_site_fract_y
_atom_site_fract_z
La1 La 0.000 0.000 0.000
Pr1 Pr 0.726 0.726 0.205
Ho1 Ho 0.265 0.265 0.747
Sc1 Sc 0.492 0.492 0.480
```

## Properties
- mass density (g/cm³) = 6.3
- total magnetization (μB per formula unit) = 0.00
- ΔH_f (0 K) (eV per atom) = 0.089


First-principles (PBE) data for a relaxed structure of Pr2SmTe2, as listed in the Alexandria database.

The structure in CIF format:
```
data_Pr2SmTe2
_chemical_formula_sum 'Pr2 Sm1 Te2'
_cell_length_a 7.554
_cell_length_b 7.554
_cell_length_c 7.554
_cell_angle_alpha 147.74
_cell_angle_beta 130.27
_cell_angle_gamma 60.52
_space_group_name_H-M_alt 'P 1'
_space_group_IT_number 1
loop_
_space_group_symop_operation_xyz
'x,y,z'
loop_
_atom_site_label
_atom_site_type_symbol
_atom_site_fract_x
_atom_site_fract_y
_atom_site_fract_z
Pr1 Pr 0.143 0.143 0.000
Pr2 Pr 0.857 0.857 0.000
Sm1 Sm 0.500 0.500 0.000
Te1 Te 0.324 0.824 0.500
Te2 Te 0.676 0.176 0.500
```

## Properties
- mass density (g/cm³) = 6.6
- uncorrected formation energy (eV per atom) = -0.995
- total magnetization (μB per formula unit) = 0.00


First-principles (PBE) data for a relaxed structure of Ce2UWN5, as listed in the Alexandria database.

The structure in CIF format:
```
data_Ce2UWN5
_chemical_formula_sum 'Ce4 U2 W2 N10'
_cell_length_a 6.594
_cell_length_b 6.594
_cell_length_c 5.891
_cell_angle_alpha 90.00
_cell_angle_beta 90.00
_cell_angle_gamma 90.00
_space_group_name_H-M_alt 'P 1'
_space_group_IT_number 1
loop_
_space_group_symop_operation_xyz
'x,y,z'
loop_
_atom_site_label
_atom_site_type_symbol
_atom_site_fract_x
_atom_site_fract_y
_atom_site_fract_z
Ce1 Ce 0.168 0.332 0.000
Ce2 Ce 0.332 0.832 0.000
Ce3 Ce 0.668 0.168 0.000
Ce4 Ce 0.832 0.668 0.000
U1 U 0.000 0.000 0.500
U2 U 0.500 0.500 0.500
W1 W 0.000 0.500 0.500
W2 W 0.500 0.000 0.500
N1 N 0.000 0.000 0.000
N2 N 0.151 0.651 0.267
N3 N 0.151 0.651 0.733
N4 N 0.349 0.151 0.267
N5 N 0.349 0.151 0.733
N6 N 0.500 0.500 0.000
N7 N 0.651 0.849 0.267
N8 N 0.651 0.849 0.733
N9 N 0.849 0.349 0.267
N10 N 0.849 0.349 0.733
```

## Properties
- mass density (g/cm³) = 10.0
- uncorrected formation energy (eV per atom) = -0.855
- total magnetization (μB per formula unit) = 3.02